# KIr2Os

A relaxed KIr2Os crystal (PBE, Alexandria via LeMat-Bulk).

Results
ΔH_f (0 K) ... 1.42 eV/atom

a = 4.5711 Å, b = 4.5711 Å, c = 4.5711 Å
α = 60.00°, β = 60.00°, γ = 60.00°
Atoms (fractional coordinates):
K: 0.0000 0.0000 0.0000
Ir: 0.2500 0.2500 0.2500
Ir: 0.7500 0.7500 0.7500
Os: 0.5000 0.5000 0.5000

# Tl2Cd12Hg5

A relaxed Tl2Cd12Hg5 crystal (PBE, Alexandria via LeMat-Bulk).

Results
ΔH_f (0 K) ... 0.04 eV/atom

a = 7.8610 Å, b = 7.8610 Å, c = 7.8610 Å
α = 85.08°, β = 85.08°, γ = 85.08°
Atoms (fractional coordinates):
Tl: 0.6600 0.6600 0.6600
Tl: 0.3400 0.3400 0.3400
Cd: 0.3022 0.6978 0.0000
Cd: 0.6978 0.0000 0.3022
Cd: 0.0000 0.3022 0.6978
Cd: 0.6978 0.3022 0.0000
Cd: 0.3022 0.0000 0.6978
Cd: 0.0000 0.6978 0.3022
Cd: 0.3613 0.3613 0.8329
Cd: 0.3613 0.8329 0.3613
Cd: 0.8329 0.3613 0.3613
Cd: 0.6387 0.1671 0.6387
Cd: 0.6387 0.6387 0.1671
Cd: 0.1671 0.6387 0.6387
Hg: 0.0000 0.0000 0.5000
Hg: 0.0000 0.5000 0.0000
Hg: 0.5000 0.0000 0.0000
Hg: 0.8936 0.8936 0.8936
Hg: 0.1064 0.1064 0.1064

# HfNbCu2Cl

A relaxed HfNbCu2Cl crystal (PBE, Alexandria via LeMat-Bulk).

Results
Energy ... -0.19248 hartree per atom

a = 4.3485 Å, b = 4.7386 Å, c = 4.3485 Å
α = 90.00°, β = 90.00°, γ = 90.00°
Atoms (fractional coordinates):
Nb: 0.5000 0.5000 0.5000
Hf: 0.0000 0.5000 0.0000
Cu: 0.0000 0.0000 0.5000
Cu: 0.5000 0.0000 0.0000
Cl: 0.0000 0.0000 0.0000

Per-record total magnetization, Bohr magnetons per cell: 1.4; 0.0; 0.3
Per-record volume, Å³/f.u.: 68; 481; 90